[1]
DFT (GGA-PBE) results for a relaxed CdCuCl3 crystal.

```
CdCuCl3
1.0
7.176 0.000 0.000
0.000 7.444 0.000
-7.049 0.000 10.047
Cd Cu Cl
4 4 12
direct
0.079 0.249 0.497
0.079 0.251 0.997
0.921 0.749 0.003
0.921 0.751 0.503
0.435 0.028 0.878
0.435 0.472 0.378
0.565 0.528 0.622
0.565 0.972 0.122
0.095 0.038 0.669
0.095 0.462 0.169
0.262 0.548 0.653
0.262 0.952 0.153
0.449 0.244 0.511
0.449 0.256 0.011
0.551 0.744 0.989
0.551 0.756 0.489
0.738 0.048 0.847
0.738 0.452 0.347
0.905 0.538 0.831
0.905 0.962 0.331
```

Results
For the formation energy from raw total energies, the calculation gives -18.03 kcal/mol of atoms. For the energy above the most stable polymorph in this dataset, the calculation gives 0 meV per atom.

---

[2]
DFT (GGA-PBE) results for a relaxed Pu2GeTe5 crystal.

```
Pu2GeTe5
1.0
8.353 0.000 0.000
0.000 12.420 0.000
0.000 0.000 4.380
Pu Ge Te
4 2 10
direct
0.080 0.173 0.000
0.420 0.673 0.000
0.580 0.327 0.000
0.920 0.827 0.000
0.000 0.500 0.500
0.500 0.000 0.500
0.000 0.000 0.500
0.142 0.707 0.500
0.202 0.434 0.000
0.298 0.934 0.000
0.358 0.207 0.500
0.500 0.500 0.500
0.642 0.793 0.500
0.702 0.066 0.000
0.798 0.566 0.000
0.858 0.293 0.500
```

Results
For the formation energy from raw total energies, the calculation gives -15.25 kcal/mol of atoms.